The following is a DFT calculation (GGA-PBE) of a relaxed ScBeAl2Cu4 crystal.

Geometry as CIF:
```
data_ScBeAl2Cu4
_chemical_formula_sum 'Sc1 Be1 Al2 Cu4'
_symmetry_space_group_name_H-M 'P 4/m m m'
_symmetry_Int_Tables_number 123
_symmetry_space_group_name_Hall '-P 4 2'
_cell_length_a 4.106
_cell_length_b 4.106
_cell_length_c 6.310
_cell_angle_alpha 90.00
_cell_angle_beta 90.00
_cell_angle_gamma 90.00
loop_
_atom_site_label
_atom_site_type_symbol
_atom_site_fract_x
_atom_site_fract_y
_atom_site_fract_z
Sc1 Sc 0.000 0.000 0.000
Be1 Be 0.500 0.500 0.500
Al1 Al 0.000 0.000 0.500
Al2 Al 0.500 0.500 0.000
Cu1 Cu 0.000 0.500 0.281
```

Summary:
Final energy   -4.249 eV/atom
Calculated volume   13.3 Å³ per atom
Size of the total moment   0.0 μB per cell
Distance to the lowest polymorph of the same formula   0 meV/atom


The following is a DFT calculation (GGA-PBE) of a relaxed ScBeAl2Cu4 crystal.

Geometry as CIF:
```
data_ScBeAl2Cu4
_chemical_formula_sum 'Sc4 Be4 Al8 Cu16'
_symmetry_space_group_name_H-M 'I 41/a m d'
_symmetry_Int_Tables_number 141
_cell_length_a 5.920
_cell_length_b 5.920
_cell_length_c 12.170
_cell_angle_alpha 90.00
_cell_angle_beta 90.00
_cell_angle_gamma 90.00
loop_
_symmetry_equiv_pos_as_xyz
'x,y,z'
'-x,-y,-z'
'-y+1/4,x+3/4,z+1/4'
'y+1/4,-x+3/4,-z+1/4'
'-x+1/2,-y,z+1/2'
'x+1/2,y,-z+1/2'
'y+1/4,-x+1/4,z+3/4'
'-y+1/4,x+1/4,-z+3/4'
'x,-y,-z'
'-x,y,z'
'-y+1/4,-x+1/4,-z+3/4'
'y+1/4,x+1/4,z+3/4'
'-x+1/2,y,-z+1/2'
'x+1/2,-y,z+1/2'
'y+1/4,x+3/4,-z+1/4'
'-y+1/4,-x+3/4,z+1/4'
'x+1/2,y+1/2,z+1/2'
'-x+1/2,-y+1/2,-z+1/2'
'-y+3/4,x+1/4,z+3/4'
'y+3/4,-x+1/4,-z+3/4'
'-x,-y+1/2,z'
'x,y+1/2,-z'
'y+3/4,-x+3/4,z+1/4'
'-y+3/4,x+3/4,-z+1/4'
'x+1/2,-y+1/2,-z+1/2'
'-x+1/2,y+1/2,z+1/2'
'-y+3/4,-x+3/4,-z+1/4'
'y+3/4,x+3/4,z+1/4'
'-x,y+1/2,-z'
'x,-y+1/2,z'
'y+3/4,x+1/4,-z+3/4'
'-y+3/4,-x+1/4,z+3/4'
loop_
_atom_site_label
_atom_site_type_symbol
_atom_site_fract_x
_atom_site_fract_y
_atom_site_fract_z
Sc1 Sc 0.000 0.250 0.375
Be1 Be 0.000 0.250 0.875
Al1 Al 0.000 0.250 0.135
Cu1 Cu 0.216 0.000 0.000
```

Summary:
Final energy   -4.225 eV/atom
Calculated volume   13.3 Å³ per atom
Size of the total moment   0.0 μB per cell
Distance to the lowest polymorph of the same formula   24 meV/atom


The following is a DFT calculation (GGA-PBE) of a relaxed BeAlCuW crystal.

Geometry as CIF:
```
data_BeAlCuW
_chemical_formula_sum 'Be4 Al4 Cu4 W4'
_symmetry_space_group_name_H-M 'F -4 3 m'
_symmetry_Int_Tables_number 216
_symmetry_space_group_name_Hall 'F -4 2 3'
_cell_length_a 5.909
_cell_length_b 5.909
_cell_length_c 5.909
_cell_angle_alpha 90.00
_cell_angle_beta 90.00
_cell_angle_gamma 90.00
loop_
_atom_site_label
_atom_site_type_symbol
_atom_site_fract_x
_atom_site_fract_y
_atom_site_fract_z
Be1 Be 0.000 0.000 0.000
Al1 Al 0.250 0.250 0.250
Cu1 Cu 0.000 0.000 0.500
W1 W 0.250 0.250 0.750
```

Summary:
Final energy   -5.702 eV/atom
Calculated volume   12.9 Å³ per atom
Size of the total moment   5.7 μB per cell
Distance to the lowest polymorph of the same formula   21 meV/atom


The following is a DFT calculation (GGA-PBE) of a relaxed BeAlCuW crystal.

Geometry as CIF:
```
data_BeAlCuW
_chemical_formula_sum 'Be4 Al4 Cu4 W4'
_symmetry_space_group_name_H-M 'F -4 3 m'
_symmetry_Int_Tables_number 216
_symmetry_space_group_name_Hall 'F -4 2 3'
_cell_length_a 5.920
_cell_length_b 5.920
_cell_length_c 5.920
_cell_angle_alpha 90.00
_cell_angle_beta 90.00
_cell_angle_gamma 90.00
loop_
_atom_site_label
_atom_site_type_symbol
_atom_site_fract_x
_atom_site_fract_y
_atom_site_fract_z
Be1 Be 0.000 0.000 0.000
Al1 Al 0.000 0.000 0.500
Cu1 Cu 0.250 0.250 0.750
W1 W 0.250 0.250 0.250
```

Summary:
Final energy   -5.723 eV/atom
Calculated volume   13.0 Å³ per atom
Size of the total moment   2.2 μB per cell
Distance to the lowest polymorph of the same formula   0 meV/atom


The following is a DFT calculation (GGA-PBE) of a relaxed YBeAlCu crystal.

Geometry as CIF:
```
data_YBeAlCu
_chemical_formula_sum 'Y4 Be4 Al4 Cu4'
_symmetry_space_group_name_H-M 'F -4 3 m'
_symmetry_Int_Tables_number 216
_symmetry_space_group_name_Hall 'F -4 2 3'
_cell_length_a 6.372
_cell_length_b 6.372
_cell_length_c 6.372
_cell_angle_alpha 90.00
_cell_angle_beta 90.00
_cell_angle_gamma 90.00
loop_
_atom_site_label
_atom_site_type_symbol
_atom_site_fract_x
_atom_site_fract_y
_atom_site_fract_z
Y1 Y 0.000 0.000 0.000
Be1 Be 0.250 0.250 0.250
Al1 Al 0.000 0.000 0.500
Cu1 Cu 0.250 0.250 0.750
```

Summary:
Final energy   -4.622 eV/atom
Calculated volume   16.2 Å³ per atom
Size of the total moment   0.0 μB per cell
Distance to the lowest polymorph of the same formula   0 meV/atom


The following is a DFT calculation (GGA-PBE) of a relaxed BeAl2ZnCu4 crystal.

Geometry as CIF:
```
data_BeAl2ZnCu4
_chemical_formula_sum 'Be4 Al8 Zn4 Cu16'
_symmetry_space_group_name_H-M 'I 41/a m d'
_symmetry_Int_Tables_number 141
_cell_length_a 5.798
_cell_length_b 5.798
_cell_length_c 11.536
_cell_angle_alpha 90.00
_cell_angle_beta 90.00
_cell_angle_gamma 90.00
loop_
_symmetry_equiv_pos_as_xyz
'x,y,z'
'-x,-y,-z'
'-y+1/4,x+3/4,z+1/4'
'y+1/4,-x+3/4,-z+1/4'
'-x+1/2,-y,z+1/2'
'x+1/2,y,-z+1/2'
'y+1/4,-x+1/4,z+3/4'
'-y+1/4,x+1/4,-z+3/4'
'x,-y,-z'
'-x,y,z'
'-y+1/4,-x+1/4,-z+3/4'
'y+1/4,x+1/4,z+3/4'
'-x+1/2,y,-z+1/2'
'x+1/2,-y,z+1/2'
'y+1/4,x+3/4,-z+1/4'
'-y+1/4,-x+3/4,z+1/4'
'x+1/2,y+1/2,z+1/2'
'-x+1/2,-y+1/2,-z+1/2'
'-y+3/4,x+1/4,z+3/4'
'y+3/4,-x+1/4,-z+3/4'
'-x,-y+1/2,z'
'x,y+1/2,-z'
'y+3/4,-x+3/4,z+1/4'
'-y+3/4,x+3/4,-z+1/4'
'x+1/2,-y+1/2,-z+1/2'
'-x+1/2,y+1/2,z+1/2'
'-y+3/4,-x+3/4,-z+1/4'
'y+3/4,x+3/4,z+1/4'
'-x,y+1/2,-z'
'x,-y+1/2,z'
'y+3/4,x+1/4,-z+3/4'
'-y+3/4,-x+1/4,z+3/4'
loop_
_atom_site_label
_atom_site_type_symbol
_atom_site_fract_x
_atom_site_fract_y
_atom_site_fract_z
Be1 Be 0.000 0.250 0.375
Al1 Al 0.000 0.250 0.116
Zn1 Zn 0.000 0.250 0.875
Cu1 Cu 0.225 0.000 0.500
```

Summary:
Final energy   -3.563 eV/atom
Calculated volume   12.1 Å³ per atom
Distance to the lowest polymorph of the same formula   0 meV/atom


The following is a DFT calculation (GGA-PBE) of a relaxed BeAl2ZnCu4 crystal.

Geometry as CIF:
```
data_BeAl2ZnCu4
_chemical_formula_sum 'Be4 Al8 Zn4 Cu16'
_symmetry_space_group_name_H-M 'I 41/a m d'
_symmetry_Int_Tables_number 141
_cell_length_a 5.796
_cell_length_b 5.796
_cell_length_c 11.553
_cell_angle_alpha 90.00
_cell_angle_beta 90.00
_cell_angle_gamma 90.00
loop_
_symmetry_equiv_pos_as_xyz
'x,y,z'
'-x,-y,-z'
'-y+1/4,x+3/4,z+1/4'
'y+1/4,-x+3/4,-z+1/4'
'-x+1/2,-y,z+1/2'
'x+1/2,y,-z+1/2'
'y+1/4,-x+1/4,z+3/4'
'-y+1/4,x+1/4,-z+3/4'
'x,-y,-z'
'-x,y,z'
'-y+1/4,-x+1/4,-z+3/4'
'y+1/4,x+1/4,z+3/4'
'-x+1/2,y,-z+1/2'
'x+1/2,-y,z+1/2'
'y+1/4,x+3/4,-z+1/4'
'-y+1/4,-x+3/4,z+1/4'
'x+1/2,y+1/2,z+1/2'
'-x+1/2,-y+1/2,-z+1/2'
'-y+3/4,x+1/4,z+3/4'
'y+3/4,-x+1/4,-z+3/4'
'-x,-y+1/2,z'
'x,y+1/2,-z'
'y+3/4,-x+3/4,z+1/4'
'-y+3/4,x+3/4,-z+1/4'
'x+1/2,-y+1/2,-z+1/2'
'-x+1/2,y+1/2,z+1/2'
'-y+3/4,-x+3/4,-z+1/4'
'y+3/4,x+3/4,z+1/4'
'-x,y+1/2,-z'
'x,-y+1/2,z'
'y+3/4,x+1/4,-z+3/4'
'-y+3/4,-x+1/4,z+3/4'
loop_
_atom_site_label
_atom_site_type_symbol
_atom_site_fract_x
_atom_site_fract_y
_atom_site_fract_z
Be1 Be 0.000 0.250 0.375
Al1 Al 0.000 0.250 0.116
Zn1 Zn 0.000 0.250 0.875
Cu1 Cu 0.225 0.000 0.500
```

Summary:
Final energy   -3.563 eV/atom
Calculated volume   12.1 Å³ per atom
Distance to the lowest polymorph of the same formula   0 meV/atom


The following is a DFT calculation (GGA-PBE) of a relaxed BeAl2ZnCu4 crystal.

Geometry as CIF:
```
data_BeAl2ZnCu4
_chemical_formula_sum 'Be1 Al2 Zn1 Cu4'
_symmetry_space_group_name_H-M 'P 4/m m m'
_symmetry_Int_Tables_number 123
_symmetry_space_group_name_Hall '-P 4 2'
_cell_length_a 4.084
_cell_length_b 4.084
_cell_length_c 5.851
_cell_angle_alpha 90.00
_cell_angle_beta 90.00
_cell_angle_gamma 90.00
loop_
_atom_site_label
_atom_site_type_symbol
_atom_site_fract_x
_atom_site_fract_y
_atom_site_fract_z
Be1 Be 0.000 0.000 0.000
Al1 Al 0.000 0.000 0.500
Al2 Al 0.500 0.500 0.000
Zn1 Zn 0.500 0.500 0.500
Cu1 Cu 0.000 0.500 0.234
```

Summary:
Final energy   -3.557 eV/atom
Calculated volume   12.2 Å³ per atom
Distance to the lowest polymorph of the same formula   6 meV/atom


The following is a DFT calculation (GGA-PBE) of a relaxed DyBe6Al2 crystal.

Geometry as CIF:
```
data_DyBe6Al2
_chemical_formula_sum 'Dy1 Be6 Al2'
_symmetry_space_group_name_H-M 'P -6 2 m'
_symmetry_Int_Tables_number 189
_symmetry_space_group_name_Hall 'P -6 -2'
_cell_length_a 7.3788
_cell_length_b 7.3788
_cell_length_c 2.5204
_cell_angle_alpha 90.00
_cell_angle_beta 90.00
_cell_angle_gamma 120.00
loop_
_atom_site_label
_atom_site_type_symbol
_atom_site_fract_x
_atom_site_fract_y
_atom_site_fract_z
Dy1 Dy 0.0000 0.0000 0.0000
Be1 Be 0.0000 0.3430 0.5000
Be2 Be 0.0000 0.6026 0.0000
Al1 Al 0.3333 0.6667 0.5000
```

Summary:
Final energy   -3.335 eV/atom
Calculated volume   13.2 Å³ per atom
Size of the total moment   0.0 μB per cell


The following is a DFT calculation (GGA-PBE) of a relaxed ErBeAl crystal.

Geometry as CIF:
```
data_ErBeAl
_chemical_formula_sum 'Er4 Be4 Al4'
_symmetry_space_group_name_H-M 'F -4 3 m'
_symmetry_Int_Tables_number 216
_symmetry_space_group_name_Hall 'F -4 2 3'
_cell_length_a 6.128
_cell_length_b 6.128
_cell_length_c 6.128
_cell_angle_alpha 90.00
_cell_angle_beta 90.00
_cell_angle_gamma 90.00
loop_
_atom_site_label
_atom_site_type_symbol
_atom_site_fract_x
_atom_site_fract_y
_atom_site_fract_z
Er1 Er 0.000 0.000 0.000
Be1 Be 0.250 0.250 0.750
Al1 Al 0.000 0.000 0.500
```

Summary:
Final energy   -4.197 eV/atom
Calculated volume   19.2 Å³ per atom
Size of the total moment   0.0 μB per cell
Distance to the lowest polymorph of the same formula   0 meV/atom